Record 1
## Na3ReBi (GGA-PBE)

Data for crystalline Na3ReBi at its relaxed geometry.

Cell and atoms, written as CIF:
```
data_Na3ReBi
_space_group_name_H-M_alt 'P 1'
_space_group_IT_number 1
_space_group_name_Hall 'P 1'
_cell_length_a 5.945
_cell_length_b 5.945
_cell_length_c 5.945
_cell_angle_alpha 90.00
_cell_angle_beta 90.00
_cell_angle_gamma 90.00
loop_
_atom_site_label
_atom_site_type_symbol
_atom_site_fract_x
_atom_site_fract_y
_atom_site_fract_z
_atom_site_occupancy
Re1 Re 0.500 0.500 0.500 1
Bi1 Bi 0.000 0.000 0.000 1
Na1 Na 0.000 0.000 0.500 1
Na2 Na 0.000 0.500 0.000 1
Na3 Na 0.500 0.000 0.000 1
```

Size of the total moment (μB/f.u.): 5.0
DOS at the Fermi energy (states/eV per atom): 0.0718
Energy above the lowest structure with this stoichiometry (eV/atom): 0.0000

Record 2
## Ti6ZnSn3 (GGA-PBE)

Data for crystalline Ti6ZnSn3 at its relaxed geometry.

Cell and atoms, written as CIF:
```
data_Ti6ZnSn3
_space_group_name_H-M_alt 'P 1'
_space_group_IT_number 1
_space_group_name_Hall 'P 1'
_cell_length_a 6.725
_cell_length_b 8.143
_cell_length_c 8.143
_cell_angle_alpha 118.10
_cell_angle_beta 90.00
_cell_angle_gamma 90.00
loop_
_atom_site_label
_atom_site_type_symbol
_atom_site_fract_x
_atom_site_fract_y
_atom_site_fract_z
_atom_site_occupancy
Ti1 Ti 0.514 0.265 0.735 1
Sn1 Sn 0.479 0.904 0.708 1
Ti2 Ti 0.092 0.392 0.226 1
Ti3 Ti 0.592 0.226 0.392 1
Sn2 Sn 0.979 0.096 0.292 1
Ti4 Ti 0.320 0.943 0.057 1
Ti5 Ti 0.092 0.774 0.608 1
Sn3 Sn 0.479 0.292 0.096 1
Ti6 Ti 0.592 0.608 0.774 1
Ti7 Ti 0.822 0.425 0.976 1
Sn4 Sn 0.979 0.708 0.904 1
Ti8 Ti 0.322 0.575 0.024 1
Zn1 Zn 0.640 0.829 0.171 1
Ti9 Ti 0.820 0.057 0.943 1
Sn5 Sn 0.227 0.409 0.591 1
Zn2 Zn 0.140 0.171 0.829 1
Sn6 Sn 0.727 0.591 0.409 1
Ti10 Ti 0.322 0.976 0.425 1
Ti11 Ti 0.014 0.735 0.265 1
Ti12 Ti 0.822 0.024 0.575 1
```

Size of the total moment (μB/f.u.): 0.0
DOS at the Fermi energy (states/eV per atom): 0.9501
Uncorrected energy (eV/atom): -6.15

Record 3
## SrAcAs (GGA-PBE)

Data for crystalline SrAcAs at its relaxed geometry.

Cell and atoms, written as CIF:
```
data_SrAcAs
_space_group_name_H-M_alt 'P 1'
_space_group_IT_number 1
_space_group_name_Hall 'P 1'
_cell_length_a 4.455
_cell_length_b 4.455
_cell_length_c 14.835
_cell_angle_alpha 81.36
_cell_angle_beta 81.36
_cell_angle_gamma 60.00
loop_
_atom_site_label
_atom_site_type_symbol
_atom_site_fract_x
_atom_site_fract_y
_atom_site_fract_z
_atom_site_occupancy
As1 As 0.085 0.085 0.745 1
Sr1 Sr 0.623 0.623 0.131 1
As2 As 0.915 0.915 0.255 1
Ac1 Ac 0.791 0.791 0.627 1
Sr2 Sr 0.377 0.377 0.869 1
Ac2 Ac 0.209 0.209 0.373 1
```

Size of the total moment (μB/f.u.): 0.1
DOS at the Fermi energy (states/eV per atom): 0.7397
Energy above the lowest structure with this stoichiometry (eV/atom): 0.0000